(1)
Computed, not measured: a relaxed structure of Mg2GaB2Pt5 at the PBE level of DFT.

Results
energy of formation from the pure elements: -0.562 eV/atom
Fermi-level density of states: 8.61 states/eV/cell
final energy: -5.54 eV/atom

Unit cell a=3.1623 b=9.4254 c=9.4254 alpha=90.00 beta=90.00 gamma=90.00
Element x y z (fractional)
Mg  0.0000  0.1754  0.3246
Pt  0.5000  0.5000  0.0000
Pt  0.5000  0.4277  0.2849
Pt  0.5000  0.2849  0.5723
Pt  0.5000  0.7151  0.4277
Pt  0.5000  0.7849  0.9277
Pt  0.5000  0.0723  0.7849
Mg  0.0000  0.8246  0.6754
Pt  0.5000  0.9277  0.2151
Pt  0.5000  0.0000  0.5000
B  0.0000  0.6254  0.8746
Mg  0.0000  0.3246  0.8246
Pt  0.5000  0.2151  0.0723
Ga  0.0000  0.0000  0.0000
Ga  0.0000  0.5000  0.5000
Pt  0.5000  0.5723  0.7151
B  0.0000  0.8746  0.3746
B  0.0000  0.3746  0.1254
Mg  0.0000  0.6754  0.1754
B  0.0000  0.1254  0.6254



(2)
Computed, not measured: a relaxed structure of Mg3Ga2BRh3 at the PBE level of DFT.

Results
energy of formation from the pure elements: -0.486 eV/atom
Fermi-level density of states: 3.39 states/eV/cell
final energy: -4.88 eV/atom

Unit cell a=3.1833 b=6.8643 c=6.8643 alpha=120.00 beta=90.00 gamma=90.00
Element x y z (fractional)
Rh  0.5000  0.7594  0.0000
Rh  0.5000  0.2406  0.2406
Ga  0.5000  0.6667  0.3333
Rh  0.5000  0.0000  0.7594
Ga  0.5000  0.3333  0.6667
Mg  0.0000  0.0000  0.3704
Mg  0.0000  0.3704  0.0000
Mg  0.0000  0.6296  0.6296
B  0.0000  0.0000  0.0000



(3)
Computed, not measured: a relaxed structure of MgGa2B2Rh5 at the PBE level of DFT.

Results
energy of formation from the pure elements: -0.406 eV/atom
Fermi-level density of states: 6.17 states/eV/cell
final energy: -6.18 eV/atom

Unit cell a=2.9209 b=9.4291 c=9.4291 alpha=90.00 beta=90.00 gamma=90.00
Element x y z (fractional)
Rh  0.5000  0.4227  0.2841
Ga  0.0000  0.1783  0.3217
Rh  0.5000  0.5000  0.0000
Rh  0.5000  0.7159  0.4227
Mg  0.0000  0.0000  0.0000
B  0.0000  0.1263  0.6263
Rh  0.5000  0.0000  0.5000
Rh  0.5000  0.5773  0.7159
Rh  0.5000  0.2159  0.0773
Ga  0.0000  0.6783  0.1783
Rh  0.5000  0.9227  0.2159
Ga  0.0000  0.3217  0.8217
Rh  0.5000  0.0773  0.7841
B  0.0000  0.3737  0.1263
Mg  0.0000  0.5000  0.5000
Rh  0.5000  0.2841  0.5773
B  0.0000  0.8737  0.3737
Rh  0.5000  0.7841  0.9227
Ga  0.0000  0.8217  0.6783
B  0.0000  0.6263  0.8737



(4)
Computed, not measured: a relaxed structure of MgGa2BS6 at the PBE level of DFT.

Results
ΔE_f (raw): -538 meV/atom
final energy: -4.45 eV/atom

Unit cell a=6.5806 b=8.5422 c=8.5422 alpha=90.06 beta=72.36 gamma=72.36
Element x y z (fractional)
Ga  0.6198  0.2295  0.4117
S  0.1786  0.9635  0.8185
S  0.3214  0.1815  0.0365
S  0.5389  0.1444  0.6710
B  0.2500  0.1703  0.8297
S  0.5910  0.5547  0.6841
S  0.4611  0.8556  0.3290
S  0.8214  0.0365  0.1815
Mg  0.7500  0.1102  0.8898
Ga  0.1198  0.4117  0.2295
Ga  0.8802  0.5883  0.7705
S  0.4090  0.4453  0.3159
S  0.6786  0.8185  0.9635
S  0.0389  0.6710  0.1444
S  0.9090  0.3159  0.4453
Ga  0.3802  0.7705  0.5883
S  0.0910  0.6841  0.5547
Mg  0.2500  0.8898  0.1102
B  0.7500  0.8297  0.1703
S  0.9611  0.3290  0.8556



(5)
Computed, not measured: a relaxed structure of Mn5Ga2B2 at the PBE level of DFT.

Results
energy of formation from the pure elements: -0.242 eV/atom
Fermi-level density of states: 13.96 states/eV/cell
final energy: -7.49 eV/atom

Unit cell a=5.5208 b=5.4752 c=7.0506 alpha=90.00 beta=66.95 gamma=90.00
Element x y z (fractional)
Ga  0.2296  0.0000  0.5408
Mn  0.2198  0.1778  0.2120
Ga  0.7296  0.5000  0.5408
Mn  0.5000  0.5000  0.0000
B  0.1169  0.3849  0.0000
Mn  0.4319  0.1778  0.7880
Mn  0.7198  0.3222  0.2120
Mn  0.0681  0.6778  0.2120
B  0.3831  0.8849  0.0000
Mn  0.5681  0.8222  0.2120
B  0.6169  0.1151  0.0000
Mn  0.0000  0.0000  0.0000
Ga  0.7704  0.0000  0.4592
B  0.8831  0.6151  0.0000
Mn  0.9319  0.3222  0.7880
Ga  0.2704  0.5000  0.4592
Mn  0.2802  0.6778  0.7880
Mn  0.7802  0.8222  0.7880



(6)
Computed, not measured: a relaxed structure of Mn6GaB2 at the PBE level of DFT.

Results
energy of formation from the pure elements: -0.180 eV/atom
Fermi-level density of states: 16.98 states/eV/cell
final energy: -8.11 eV/atom

Unit cell a=6.2225 b=6.2225 c=6.2225 alpha=103.68 beta=110.12 gamma=114.80
Element x y z (fractional)
Mn  0.2197  0.2459  0.4656
Mn  0.2197  0.7541  0.9738
Ga  0.0000  0.5000  0.5000
Mn  0.7001  0.3833  0.6832
B  0.3664  0.0000  0.3664
Mn  0.9067  0.7089  0.1978
Mn  0.5111  0.7089  0.8022
Mn  0.7803  0.7541  0.5344
B  0.5000  0.3867  0.8867
Mn  0.0933  0.2911  0.8022
Mn  0.4889  0.2911  0.1978
Mn  0.2999  0.9831  0.6832
Mn  0.7803  0.2459  0.0262
B  0.6336  0.0000  0.6336
Ga  0.0000  0.0000  0.0000
Mn  0.2999  0.6167  0.3168
Mn  0.7001  0.0169  0.3168
B  0.5000  0.6133  0.1133